First-principles (GGA-PBE) data for ScMo2 after structural relaxation, as listed in Alexandria.

Summary:
Space group: P-3m1, No. 164
E_form, meV/atom: 280
M_tot, μB per atom: 0.00

a = 3.090 Å, b = 3.090 Å, c = 6.531 Å
α = 90.00°, β = 90.00°, γ = 120.00°
Element x y z (fractional)
Sc1 0.667 0.333 0.333
Mo1 0.000 0.000 0.974
Mo2 0.333 0.667 0.692